NaZn2Te2 | PBE | optimized geometry

Electronic total energy = -2.2693 eV per atom
Symmetry = I4/mmm, No. 139
Formation energy (no corrections) = -239 meV/atom

Geometry as extended XYZ:
```
10
Lattice="5.3342 0.0000 0.0000 0.0000 5.3342 0.0000 0.0000 0.0000 9.2285" Properties=species:S:1:pos:R:3 pbc="T T T"
Na 0.0000 0.0000 0.0000
Na 2.6671 2.6671 4.6143
Zn 0.0000 0.0000 3.3658
Zn 0.0000 0.0000 5.8627
Zn 2.6671 2.6671 1.2484
Zn 2.6671 2.6671 7.9801
Te 0.0000 2.6671 2.3071
Te 0.0000 2.6671 6.9214
Te 2.6671 0.0000 2.3071
Te 2.6671 0.0000 6.9214
```